(1)
This record from the Alexandria database describes crystalline AlIn at its relaxed geometry. The functional is PBE-GGA.

Cell: 6.3313 6.3313 6.3313 Å, 90.00 90.00 90.00°
Closest atoms and distances in Å follow each position.
Space group F-43m (No. 216)
Asymmetric unit:
Al (0.0000, 0.0000, 0.0000) (multiplicity 4)  4 In 2.74
In (0.2500, 0.2500, 0.7500) (multiplicity 4)  4 Al 2.74

Calculated values
For the volume, the calculation gives 31.72 A^3/atom. For the calculated formation energy, the calculation gives 0.57 eV/atom.

=====

(2)
This record from the Alexandria database describes crystalline RbNaTl2Au at its relaxed geometry. The functional is PBE-GGA.

Cell: 4.5937 5.1772 13.6897 Å, 90.00 90.00 90.00°
Closest atoms and distances in Å follow each position.
Space group Imm2 (No. 44)
Asymmetric unit:
Rb (0.0000, 0.0000, 0.0000) (multiplicity 2)  4 Au 3.72, 2 Na 3.79, 4 Tl 3.79
Na (0.0000, 0.5000, 0.7200) (multiplicity 2)  2 Au 3.07, 2 Tl 3.24
Tl (0.0000, 0.0000, 0.3866) (multiplicity 2)  1 Au 2.91, 2 Na 3.24
Tl (0.0000, 0.5000, 0.2391) (multiplicity 2)  2 Au 2.99, 2 Tl 3.28
Au (0.0000, 0.0000, 0.5994) (multiplicity 2)  3 Tl 2.91-2.99, 2 Na 3.07

Calculated values
For the volume, the calculation gives 32.56 A^3/atom. For the calculated formation energy, the calculation gives -0.16 eV/atom. The excess energy over the best structure of this formula in the dataset comes out at 0.0 meV per atom.

=====

(3)
This record from the Alexandria database describes crystalline PrLu2O at its relaxed geometry. The functional is PBE-GGA.

Cell: 3.1828 3.1828 8.6355 Å, 90.00 90.00 90.00°
Closest atoms and distances in Å follow each position.
Space group P4/mmm (No. 123)
Asymmetric unit:
Pr (0.0000, 0.0000, 0.0000) (multiplicity 1)  4 Pr 3.18
Lu (0.5000, 0.5000, 0.3224) (multiplicity 2)  4 O 2.72
O (0.0000, 0.0000, 0.5000) (multiplicity 1)  8 Lu 2.72

Calculated values
For the volume, the calculation gives 21.87 A^3/atom. The uncorrected formation energy comes out at -0.76 eV/atom.

=====

(4)
This record from the Alexandria database describes crystalline TaAs2Pt at its relaxed geometry. The functional is PBE-GGA.

Cell: 8.9496 2.9414 5.3023 Å, 90.00 92.25 90.00°
Closest atoms and distances in Å follow each position.
Space group C2/m (No. 12)
Asymmetric unit:
Ta (0.0000, 0.0000, 0.0000) (multiplicity 2)  6 As 2.72-2.79, 2 Ta 2.94, 4 Pt 3.03
As (0.2236, 0.5000, 0.2263) (multiplicity 4)  1 Pt 2.52, 3 Ta 2.72-2.79
Pt (0.0000, 0.5000, 0.5000) (multiplicity 2)  2 As 2.52

Calculated values
For the volume, the calculation gives 17.43 A^3/atom. For the calculated formation energy, the calculation gives -0.04 eV/atom. The excess energy over the best structure of this formula in the dataset comes out at 259.3 meV per atom.

=====

(5)
This record from the Alexandria database describes crystalline AcNiH at its relaxed geometry. The functional is PBE-GGA.

Cell: 8.4308 3.8081 8.2047 Å, 90.00 109.03 90.00°
Closest atoms and distances in Å follow each position.
Space group C2/m (No. 12)
Asymmetric unit:
Ac (0.0757, 0.0000, 0.2626) (multiplicity 4)  2 H 2.46
Ni (0.1469, 0.5000, 0.0014) (multiplicity 4)  1 H 1.60
H (0.1655, 0.0000, 0.0058) (multiplicity 4)  1 Ni 1.60

Calculated values
For the volume, the calculation gives 20.75 A^3/atom. The excess energy over the best structure of this formula in the dataset comes out at 145.0 meV per atom.

=====

(6)
This record from the Alexandria database describes crystalline NdSmMgCu at its relaxed geometry. The functional is PBE-GGA.

Cell: 7.4446 7.4446 7.4446 Å, 90.00 90.00 90.00°
Closest atoms and distances in Å follow each position.
Space group F-43m (No. 216)
Asymmetric unit:
Nd (0.0000, 0.0000, 0.0000) (multiplicity 4)  4 Cu 3.22, 4 Mg 3.22
Sm (0.0000, 0.0000, 0.5000) (multiplicity 4)  4 Mg 3.22, 4 Cu 3.22
Mg (0.2500, 0.2500, 0.2500) (multiplicity 4)  4 Nd 3.22, 4 Sm 3.22
Cu (0.2500, 0.2500, 0.7500) (multiplicity 4)  4 Nd 3.22, 4 Sm 3.22

Calculated values
For the volume, the calculation gives 25.79 A^3/atom. For the calculated formation energy, the calculation gives -0.04 eV/atom.